Entry 1:
# Pu2CuSi

A relaxed structure of Pu2CuSi (PBE-GGA, Alexandria).

## Properties
density of states at the Fermi level: 1.754 states/eV per atom
uncorrected formation energy: 0.03 eV per atom
magnetization: 0.0 μB per cell
density: 15.2 Mg/m³
SG: No. 2
final energy: -38.07 eV for the cell shown

a = 3.385 Å, b = 5.366 Å, c = 5.694 Å
α = 138.94°, β = 111.61°, γ = 74.19°
Atoms (fractional coordinates):
Si: 0.250 0.250 0.750
Cu: 0.750 0.750 0.250
Pu: 0.463 0.524 0.537
Pu: 0.037 0.976 0.963

---

Entry 2:
# Ta2AgRu

A relaxed structure of Ta2AgRu (PBE-GGA, Alexandria).

## Properties
ΔE_f: 0.31 eV per formula unit
density of states at the Fermi level: 0.782 states/eV per atom
relative energy among the computed polymorphs: 31.3 meV per atom
magnetization: 0.0 μB per cell
density: 14.0 Mg/m³
SG: No. 10
final energy: -35.52 eV for the cell shown

a = 4.065 Å, b = 2.919 Å, c = 6.135 Å
α = 68.40°, β = 90.00°, γ = 90.00°
Atoms (fractional coordinates):
Ag: 0.500 0.250 0.250
Ru: 0.500 0.750 0.750
Ta: 0.000 0.965 0.979
Ta: 0.000 0.535 0.521

---

Entry 3:
# BaTa2Au

A relaxed structure of BaTa2Au (PBE-GGA, Alexandria).

## Properties
ΔE_f: 2.09 eV per formula unit
density of states at the Fermi level: 0.847 states/eV per atom
relative energy among the computed polymorphs: 221.0 meV per atom
magnetization: 0.0 μB per cell
density: 10.7 Mg/m³
SG: No. 8
final energy: -26.82 eV for the cell shown

a = 5.070 Å, b = 5.070 Å, c = 7.076 Å
α = 80.43°, β = 80.43°, γ = 36.98°
Atoms (fractional coordinates):
Au: 0.470 0.470 0.566
Ba: 0.237 0.237 0.267
Ta: 0.032 0.032 0.862
Ta: 0.761 0.761 0.804

---

Entry 4:
# TiVReRu

A relaxed structure of TiVReRu (PBE-GGA, Alexandria).

## Properties
ΔE_f: -1.95 eV per formula unit
density of states at the Fermi level: 0.339 states/eV per atom
relative energy among the computed polymorphs: 0.0 meV per atom
magnetization: 0.0 μB per cell
density: 11.2 Mg/m³
SG: No. 99
final energy: -40.69 eV for the cell shown

a = 3.060 Å, b = 3.060 Å, c = 6.141 Å
α = 90.00°, β = 90.00°, γ = 90.00°
Atoms (fractional coordinates):
Ti: 0.000 0.000 0.359
V: 0.000 0.000 0.862
Re: 0.500 0.500 0.097
Ru: 0.500 0.500 0.610

---

Entry 5:
# Tm5Mg2Ge4

A relaxed structure of Tm5Mg2Ge4 (PBE-GGA, Alexandria).

## Properties
ΔE_f: -4.56 eV per formula unit
density of states at the Fermi level: 0.845 states/eV per atom
magnetization: 0.0 μB per cell
density: 7.2 Mg/m³
SG: No. 71
final energy: -48.58 eV for the cell shown

a = 4.106 Å, b = 7.137 Å, c = 10.169 Å
α = 110.55°, β = 101.65°, γ = 90.00°
Atoms (fractional coordinates):
Tm: 0.163 0.925 0.327
Tm: 0.837 0.075 0.673
Tm: 0.163 0.402 0.327
Tm: 0.500 0.000 0.000
Tm: 0.837 0.598 0.673
Mg: 0.573 0.573 0.146
Mg: 0.427 0.427 0.854
Ge: 0.712 0.712 0.424
Ge: 0.000 0.704 0.000
Ge: 0.288 0.288 0.576
Ge: 0.000 0.296 0.000

---

Entry 6:
# CrIn7

A relaxed structure of CrIn7 (PBE-GGA, Alexandria).

## Properties
ΔE_f: 1.36 eV per formula unit
density of states at the Fermi level: 0.353 states/eV per atom
magnetization: 4.3 μB per cell
density: 7.2 Mg/m³
SG: No. 225
final energy: -27.44 eV for the cell shown

a = 6.548 Å, b = 6.548 Å, c = 6.548 Å
α = 60.00°, β = 60.00°, γ = 60.00°
Atoms (fractional coordinates):
Cr: 0.000 0.000 0.000
In: 0.500 0.500 0.000
In: 0.500 0.000 0.500
In: 0.500 0.000 0.000
In: 0.000 0.000 0.500
In: 0.000 0.500 0.000
In: 0.000 0.500 0.500
In: 0.500 0.500 0.500

---

Entry 7:
# UGe2Rh

A relaxed structure of UGe2Rh (PBE-GGA, Alexandria).

## Properties
ΔE_f: -1.61 eV per formula unit
density of states at the Fermi level: 1.395 states/eV per atom
magnetization: 10.1 μB per cell
density: 11.0 Mg/m³
SG: No. 62
final energy: -117.94 eV for the cell shown

a = 4.480 Å, b = 6.483 Å, c = 10.154 Å
α = 90.00°, β = 90.00°, γ = 90.00°
Atoms (fractional coordinates):
U: 0.750 0.785 0.322
U: 0.750 0.285 0.178
U: 0.250 0.215 0.678
U: 0.250 0.715 0.822
Ge: 0.750 0.766 0.035
Ge: 0.250 0.234 0.965
Ge: 0.750 0.266 0.465
Ge: 0.250 0.734 0.535
Ge: 0.750 0.032 0.837
Ge: 0.250 0.468 0.337
Ge: 0.750 0.532 0.663
Ge: 0.250 0.968 0.163
Rh: 0.250 0.088 0.406
Rh: 0.750 0.912 0.594
Rh: 0.250 0.588 0.094
Rh: 0.750 0.412 0.906

---

Entry 8:
# As2OsBr

A relaxed structure of As2OsBr (PBE-GGA, Alexandria).

## Properties
density of states at the Fermi level: 0.978 states/eV per atom
uncorrected formation energy: 0.52 eV per atom
relative energy among the computed polymorphs: 453.6 meV per atom
magnetization: 0.3 μB per cell
density: 8.6 Mg/m³
SG: No. 160
final energy: -20.11 eV for the cell shown

a = 9.547 Å, b = 9.547 Å, c = 9.547 Å
α = 19.08°, β = 19.08°, γ = 19.08°
Atoms (fractional coordinates):
As: 0.014 0.014 0.014
As: 0.268 0.268 0.268
Os: 0.738 0.738 0.738
Br: 0.480 0.480 0.480

---

Entry 9:
# ScGePd2N

A relaxed structure of ScGePd2N (PBE-GGA, Alexandria).

## Properties
density of states at the Fermi level: 1.016 states/eV per atom
uncorrected formation energy: -0.03 eV per atom
magnetization: 0.0 μB per cell
density: 7.4 Mg/m³
SG: No. 123
final energy: -29.83 eV for the cell shown

a = 4.175 Å, b = 4.463 Å, c = 4.175 Å
α = 90.00°, β = 90.00°, γ = 90.00°
Atoms (fractional coordinates):
Sc: 0.500 0.500 0.500
Ge: 0.000 0.500 0.000
Pd: 0.000 0.000 0.500
Pd: 0.500 0.000 0.000
N: 0.000 0.000 0.000

---

Entry 10:
# Tm2HfSi2Ru5

A relaxed structure of Tm2HfSi2Ru5 (PBE-GGA, Alexandria).

## Properties
density of states at the Fermi level: 0.668 states/eV per atom
uncorrected formation energy: -0.75 eV per atom
magnetization: 0.0 μB per cell
density: 10.9 Mg/m³
SG: No. 127
final energy: -167.22 eV for the cell shown

a = 3.253 Å, b = 10.056 Å, c = 10.056 Å
α = 90.00°, β = 90.00°, γ = 90.00°
Atoms (fractional coordinates):
Tm: 0.000 0.673 0.173
Tm: 0.000 0.327 0.827
Tm: 0.000 0.173 0.327
Tm: 0.000 0.827 0.673
Hf: 0.000 0.000 0.000
Hf: 0.000 0.500 0.500
Si: 0.000 0.126 0.626
Si: 0.000 0.874 0.374
Si: 0.000 0.626 0.874
Si: 0.000 0.374 0.126
Ru: 0.500 0.211 0.069
Ru: 0.500 0.789 0.931
Ru: 0.500 0.069 0.789
Ru: 0.500 0.711 0.431
Ru: 0.500 0.931 0.211
Ru: 0.500 0.289 0.569
Ru: 0.500 0.569 0.711
Ru: 0.500 0.431 0.289
Ru: 0.500 0.500 0.000
Ru: 0.500 0.000 0.500

---

Entry 11:
# CaBrF3

A relaxed structure of CaBrF3 (PBE-GGA, Alexandria).

## Properties
density of states at the Fermi level: 0.401 states/eV per atom
uncorrected formation energy: -1.35 eV per atom
relative energy among the computed polymorphs: 807.4 meV per atom
magnetization: 0.0 μB per cell
density: 2.9 Mg/m³
SG: No. 221
final energy: -16.03 eV for the cell shown

a = 4.676 Å, b = 4.676 Å, c = 4.676 Å
α = 90.00°, β = 90.00°, γ = 90.00°
Atoms (fractional coordinates):
Ca: 0.500 0.500 0.500
Br: 0.000 0.000 0.000
F: 0.000 0.500 0.000
F: 0.000 0.000 0.500
F: 0.500 0.000 0.000

---

Entry 12:
# AcLaSn6

A relaxed structure of AcLaSn6 (PBE-GGA, Alexandria).

## Properties
ΔE_f: -4.32 eV per formula unit
density of states at the Fermi level: 0.635 states/eV per atom
relative energy among the computed polymorphs: 0.0 meV per atom
magnetization: 0.0 μB per cell
density: 7.8 Mg/m³
SG: No. 123
final energy: -37.37 eV for the cell shown

a = 4.864 Å, b = 4.864 Å, c = 9.720 Å
α = 90.00°, β = 90.00°, γ = 90.00°
Atoms (fractional coordinates):
Ac: 0.000 0.000 0.000
La: 0.000 0.000 0.500
Sn: 0.500 0.500 0.000
Sn: 0.500 0.500 0.500
Sn: 0.500 0.000 0.255
Sn: 0.500 0.000 0.745
Sn: 0.000 0.500 0.255
Sn: 0.000 0.500 0.745

---

Entry 13:
# Th4P2AuS

A relaxed structure of Th4P2AuS (PBE-GGA, Alexandria).

## Properties
density of states at the Fermi level: 0.746 states/eV per atom
uncorrected formation energy: -1.36 eV per atom
magnetization: 0.0 μB per cell
density: 9.9 Mg/m³
SG: No. 10
final energy: -58.74 eV for the cell shown

a = 4.113 Å, b = 7.306 Å, c = 7.209 Å
α = 70.91°, β = 90.00°, γ = 90.00°
Atoms (fractional coordinates):
Th: 0.000 0.761 0.753
Th: 0.000 0.239 0.247
Th: 0.500 0.762 0.241
Th: 0.500 0.238 0.759
P: 0.000 0.000 0.000
P: 0.500 0.000 0.500
Au: 0.000 0.500 0.500
S: 0.500 0.500 0.000

---

Entry 14:
# PuZnInO6

A relaxed structure of PuZnInO6 (PBE-GGA, Alexandria).

## Properties
density of states at the Fermi level: 0.005 states/eV per atom
uncorrected formation energy: -1.73 eV per atom
magnetization: 2.0 μB per cell
density: 7.4 Mg/m³
SG: No. 163
final energy: -127.25 eV for the cell shown

a = 5.419 Å, b = 5.419 Å, c = 9.139 Å
α = 90.00°, β = 90.00°, γ = 120.00°
Atoms (fractional coordinates):
Pu: 0.667 0.333 0.250
Pu: 0.333 0.667 0.750
Zn: 0.000 0.000 0.000
Zn: 0.000 0.000 0.500
In: 0.333 0.667 0.250
In: 0.667 0.333 0.750
O: 0.675 0.650 0.128
O: 0.975 0.325 0.128
O: 0.325 0.975 0.628
O: 0.025 0.675 0.872
O: 0.350 0.325 0.372
O: 0.975 0.650 0.372
O: 0.650 0.975 0.872
O: 0.675 0.025 0.372
O: 0.025 0.350 0.628
O: 0.350 0.025 0.128
O: 0.650 0.675 0.628
O: 0.325 0.350 0.872

---

Entry 15:
# Li23Zn6Pd

A relaxed structure of Li23Zn6Pd (PBE-GGA, Alexandria).

## Properties
ΔE_f: -2.44 eV per formula unit
density of states at the Fermi level: 0.149 states/eV per atom
magnetization: 0.0 μB per cell
density: 2.1 Mg/m³
SG: No. 225
final energy: -59.30 eV for the cell shown

a = 9.016 Å, b = 9.016 Å, c = 9.016 Å
α = 60.00°, β = 60.00°, γ = 60.00°
Atoms (fractional coordinates):
Li: 0.620 0.127 0.127
Li: 0.380 0.873 0.873
Li: 0.127 0.127 0.620
Li: 0.127 0.127 0.127
Li: 0.873 0.873 0.380
Li: 0.873 0.873 0.873
Li: 0.127 0.620 0.127
Li: 0.873 0.380 0.873
Li: 0.500 0.500 0.000
Li: 0.000 0.000 0.500
Li: 0.500 0.000 0.000
Li: 0.000 0.500 0.500
Li: 0.500 0.000 0.500
Li: 0.000 0.500 0.000
Li: 0.856 0.381 0.381
Li: 0.144 0.619 0.619
Li: 0.381 0.381 0.856
Li: 0.381 0.381 0.381
Li: 0.619 0.619 0.144
Li: 0.619 0.619 0.619
Li: 0.381 0.856 0.381
Li: 0.619 0.144 0.619
Li: 0.000 0.000 0.000
Zn: 0.749 0.749 0.251
Zn: 0.251 0.251 0.749
Zn: 0.749 0.251 0.251
Zn: 0.251 0.749 0.749
Zn: 0.749 0.251 0.749
Zn: 0.251 0.749 0.251
Pd: 0.500 0.500 0.500

---

Entry 16:
# GdGaAg2

A relaxed structure of GdGaAg2 (PBE-GGA, Alexandria).

## Properties
ΔE_f: -0.79 eV per formula unit
density of states at the Fermi level: 0.758 states/eV per atom
magnetization: 7.4 μB per cell
density: 8.6 Mg/m³
SG: No. 123
final energy: -23.60 eV for the cell shown

a = 4.400 Å, b = 4.406 Å, c = 4.406 Å
α = 90.00°, β = 90.00°, γ = 90.00°
Atoms (fractional coordinates):
Gd: 0.500 0.500 0.500
Ga: 0.500 0.000 0.000
Ag: 0.000 0.000 0.500
Ag: 0.000 0.500 0.000

---

Entry 17:
# TmH4Pd5

A relaxed structure of TmH4Pd5 (PBE-GGA, Alexandria).

## Properties
density of states at the Fermi level: 0.129 states/eV per atom
magnetization: 0.0 μB per cell
density: 10.3 Mg/m³
SG: No. 59
final energy: -95.20 eV for the cell shown

a = 4.746 Å, b = 5.747 Å, c = 8.369 Å
α = 90.00°, β = 90.00°, γ = 90.00°
Atoms (fractional coordinates):
Tm: 0.724 0.000 0.000
Tm: 0.276 0.500 0.500
H: 0.039 0.305 0.000
H: 0.417 0.000 0.281
H: 0.417 0.000 0.719
H: 0.039 0.695 0.000
H: 0.961 0.805 0.500
H: 0.583 0.500 0.219
H: 0.583 0.500 0.781
H: 0.961 0.195 0.500
Pd: 0.747 0.248 0.330
Pd: 0.747 0.248 0.670
Pd: 0.271 0.000 0.500
Pd: 0.747 0.752 0.330
Pd: 0.747 0.752 0.670
Pd: 0.253 0.748 0.170
Pd: 0.253 0.748 0.830
Pd: 0.729 0.500 0.000
Pd: 0.253 0.252 0.830
Pd: 0.253 0.252 0.170

---

Entry 18:
# LaTi2Tl2

A relaxed structure of LaTi2Tl2 (PBE-GGA, Alexandria).

## Properties
ΔE_f: 0.13 eV per formula unit
density of states at the Fermi level: 1.155 states/eV per atom
relative energy among the computed polymorphs: 22.6 meV per atom
magnetization: 3.7 μB per cell
density: 9.1 Mg/m³
SG: No. 127
final energy: -50.63 eV for the cell shown

a = 8.627 Å, b = 8.627 Å, c = 3.151 Å
α = 90.00°, β = 90.00°, γ = 90.00°
Atoms (fractional coordinates):
Tl: 0.179 0.679 0.500
Tl: 0.679 0.821 0.500
Tl: 0.821 0.321 0.500
Tl: 0.321 0.179 0.500
Ti: 0.388 0.888 0.000
Ti: 0.888 0.612 0.000
Ti: 0.612 0.112 0.000
Ti: 0.112 0.388 0.000
La: 0.000 0.000 0.000
La: 0.500 0.500 0.000

---

Entry 19:
# CdGa3Ag4

A relaxed structure of CdGa3Ag4 (PBE-GGA, Alexandria).

## Properties
ΔE_f: 0.05 eV per formula unit
density of states at the Fermi level: 0.311 states/eV per atom
relative energy among the computed polymorphs: 0.0 meV per atom
magnetization: 0.0 μB per cell
density: 8.6 Mg/m³
SG: No. 53
final energy: -42.71 eV for the cell shown

a = 5.735 Å, b = 8.324 Å, c = 6.107 Å
α = 90.00°, β = 90.00°, γ = 90.00°
Atoms (fractional coordinates):
Ag: 0.000 0.811 0.000
Ag: 0.500 0.310 0.000
Ag: 0.754 0.061 0.750
Ag: 0.246 0.561 0.750
Ag: 0.500 0.810 0.500
Ag: 0.000 0.311 0.500
Ag: 0.246 0.561 0.250
Ag: 0.754 0.061 0.250
Ga: 0.000 0.311 0.000
Ga: 0.244 0.061 0.750
Ga: 0.756 0.561 0.750
Ga: 0.000 0.811 0.500
Ga: 0.756 0.561 0.250
Ga: 0.244 0.061 0.250
Cd: 0.500 0.811 0.000
Cd: 0.500 0.311 0.500

---

Entry 20:
# Mn3Si4

A relaxed structure of Mn3Si4 (PBE-GGA, Alexandria).

## Properties
density of states at the Fermi level: 0.383 states/eV per atom
uncorrected formation energy: -0.06 eV per atom
magnetization: 5.2 μB per cell
density: 5.2 Mg/m³
SG: No. 191
final energy: -49.62 eV for the cell shown

a = 4.877 Å, b = 4.877 Å, c = 4.289 Å
α = 90.00°, β = 90.00°, γ = 120.00°
Atoms (fractional coordinates):
Mn: 0.000 0.500 0.000
Mn: 0.500 0.500 0.000
Mn: 0.500 0.000 0.000
Si: 0.000 0.000 0.247
Si: 0.000 0.000 0.753
Si: 0.667 0.333 0.500
Si: 0.333 0.667 0.500

---

Entry 21:
# PmHoSc

A relaxed structure of PmHoSc (PBE-GGA, Alexandria).

## Properties
ΔE_f: 0.15 eV per formula unit
density of states at the Fermi level: 1.591 states/eV per atom
relative energy among the computed polymorphs: 0.0 meV per atom
magnetization: 0.0 μB per cell
density: 6.6 Mg/m³
SG: No. 107
final energy: -15.51 eV for the cell shown

a = 3.503 Å, b = 3.503 Å, c = 7.706 Å
α = 103.14°, β = 103.14°, γ = 90.00°
Atoms (fractional coordinates):
Sc: 0.665 0.665 0.330
Ho: 0.006 0.006 0.012
Pm: 0.329 0.329 0.657

---

Entry 22:
# CsRbLiBi2

A relaxed structure of CsRbLiBi2 (PBE-GGA, Alexandria).

## Properties
ΔE_f: -1.20 eV per formula unit
density of states at the Fermi level: 0.542 states/eV per atom
magnetization: 0.0 μB per cell
density: 5.6 Mg/m³
SG: No. 123
final energy: -12.70 eV for the cell shown

a = 5.534 Å, b = 5.534 Å, c = 6.207 Å
α = 90.00°, β = 90.00°, γ = 90.00°
Atoms (fractional coordinates):
Cs: 0.500 0.500 0.500
Bi: 0.000 0.500 0.000
Bi: 0.500 0.000 0.000
Rb: 0.000 0.000 0.500
Li: 0.000 0.000 0.000

---

Entry 23:
# HfTaNb2

A relaxed structure of HfTaNb2 (PBE-GGA, Alexandria).

## Properties
ΔE_f: 0.20 eV per formula unit
density of states at the Fermi level: 2.015 states/eV per atom
relative energy among the computed polymorphs: 15.0 meV per atom
magnetization: 0.0 μB per cell
density: 11.9 Mg/m³
SG: No. 225
final energy: -41.75 eV for the cell shown

a = 4.757 Å, b = 4.757 Å, c = 4.757 Å
α = 60.00°, β = 60.00°, γ = 60.00°
Atoms (fractional coordinates):
Nb: 0.250 0.250 0.250
Nb: 0.750 0.750 0.750
Hf: 0.000 0.000 0.000
Ta: 0.500 0.500 0.500